Entry 1:
# Li2YRe (PBE, relaxed)
# **DFT total energy**: -82.29 eV for the cell shown
# **Theoretical density**: 7.05 g/cm3
# **V**: 17.02 A^3/atom
data_Li2YRe
_chemical_formula_sum 'Li8 Y4 Re4'
_space_group_name_H-M_alt 'F m -3 m'
_space_group_IT_number 225
_space_group_name_Hall '-F 4 2 3'
_cell_length_a 6.4820
_cell_length_b 6.4820
_cell_length_c 6.4820
_cell_angle_alpha 90.00
_cell_angle_beta 90.00
_cell_angle_gamma 90.00
loop_
_atom_site_label
_atom_site_type_symbol
_atom_site_fract_x
_atom_site_fract_y
_atom_site_fract_z
Li1 Li 0.2500 0.2500 0.2500
Y1 Y 0.0000 0.0000 0.0000
Re1 Re 0.0000 0.0000 0.5000



Entry 2:
# ZrTa2VGe (PBE, relaxed)
# **DFT total energy**: -36.72 eV for the cell shown
# **Theoretical density**: 8.60 g/cm3
# **V**: 22.26 A^3/atom
data_ZrTa2VGe
_chemical_formula_sum 'Zr1 Ta2 V1 Ge1'
_space_group_name_H-M_alt 'P 4/m m m'
_space_group_IT_number 123
_space_group_name_Hall '-P 4 2'
_cell_length_a 4.9823
_cell_length_b 4.9823
_cell_length_c 4.4839
_cell_angle_alpha 90.00
_cell_angle_beta 90.00
_cell_angle_gamma 90.00
loop_
_atom_site_label
_atom_site_type_symbol
_atom_site_fract_x
_atom_site_fract_y
_atom_site_fract_z
Zr1 Zr 0.0000 0.0000 0.0000
Ta1 Ta 0.0000 0.5000 0.0000
V1 V 0.0000 0.0000 0.5000
Ge1 Ge 0.5000 0.5000 0.5000